Mn5F8 | PBE+U | relaxed

The calculation puts the total energy at -6.243 eV/atom. The calculation puts the density at 3.74 g/cm³.

It has space group C2/m (No. 12), with a = 9.7233 Å, b = 6.7732 Å, c = 7.4327 Å, α = 90.00°, β = 129.20° and γ = 90.00°. Symmetry generates all atoms from Mn at (0.0000, 0.0000, 0.0000), Mn at (0.0000, 0.2471, 0.5000), Mn at (0.1497, 0.5000, 0.0095), F at (0.0712, 0.2004, 0.8412), F at (0.1771, 0.0000, 0.6138) and F at (0.1847, 0.5000, 0.6955).